SmY2HoSc: optimized geometry, PBE.

Geometry as CIF:
```
data_SmY2HoSc
_cell_length_a 8.203
_cell_length_b 11.224
_cell_length_c 7.118
_cell_angle_alpha 90.00
_cell_angle_beta 90.00
_cell_angle_gamma 90.00
_space_group_name_H-M_alt 'C m c m'
_space_group_IT_number 63
_space_group_name_Hall '-C 2c 2'
loop_
_atom_site_label
_atom_site_fract_x
_atom_site_fract_y
_atom_site_fract_z
Sm1 0.000 0.232 0.250
Y1 0.198 0.000 0.000
Ho1 0.000 0.234 0.750
Sc1 0.000 0.496 0.250
```

The value obtained for the formation energy is 342 meV per atom. Its total DFT energy (no corrections) is -107.4 eV for the cell shown.


SmHoScZn: optimized geometry, PBE.

Geometry as CIF:
```
data_SmHoScZn
_cell_length_a 7.413
_cell_length_b 7.413
_cell_length_c 7.413
_cell_angle_alpha 90.00
_cell_angle_beta 90.00
_cell_angle_gamma 90.00
_space_group_name_H-M_alt 'F -4 3 m'
_space_group_IT_number 216
_space_group_name_Hall 'F -4 2 3'
loop_
_atom_site_label
_atom_site_fract_x
_atom_site_fract_y
_atom_site_fract_z
Sm1 0.000 0.000 0.000
Ho1 0.000 0.000 0.500
Sc1 0.250 0.250 0.250
Zn1 0.250 0.250 0.750
```

Its energy above the lowest structure with this stoichiometry is 144.5 meV/atom. The value obtained for the formation energy is -8 meV per atom. Its total DFT energy (no corrections) is -67.7 eV for the cell shown.


SmHoScZn: optimized geometry, PBE.

Geometry as CIF:
```
data_SmHoScZn
_cell_length_a 3.477
_cell_length_b 3.477
_cell_length_c 8.495
_cell_angle_alpha 90.00
_cell_angle_beta 90.00
_cell_angle_gamma 90.00
_space_group_name_H-M_alt 'P 4 m m'
_space_group_IT_number 99
_space_group_name_Hall 'P 4 -2'
loop_
_atom_site_label
_atom_site_fract_x
_atom_site_fract_y
_atom_site_fract_z
Sm1 0.000 0.000 0.000
Ho1 0.500 0.500 0.689
Sc1 0.500 0.500 0.288
Zn1 0.000 0.000 0.466
```

Its energy above the lowest structure with this stoichiometry is 0.0 meV/atom. The value obtained for the formation energy is -153 meV per atom. Its total DFT energy (no corrections) is -17.5 eV for the cell shown.


SmHoZrSc: optimized geometry, PBE.

Geometry as CIF:
```
data_SmHoZrSc
_cell_length_a 7.608
_cell_length_b 7.608
_cell_length_c 7.608
_cell_angle_alpha 90.00
_cell_angle_beta 90.00
_cell_angle_gamma 90.00
_space_group_name_H-M_alt 'F -4 3 m'
_space_group_IT_number 216
_space_group_name_Hall 'F -4 2 3'
loop_
_atom_site_label
_atom_site_fract_x
_atom_site_fract_y
_atom_site_fract_z
Sm1 0.000 0.000 0.000
Ho1 0.250 0.250 0.750
Zr1 0.000 0.000 0.500
Sc1 0.250 0.250 0.250
```

The value obtained for the formation energy is 196 meV per atom. Its total DFT energy (no corrections) is -93.6 eV for the cell shown.


HoScSn2: optimized geometry, PBE.

Geometry as CIF:
```
data_HoScSn2
_cell_length_a 3.6676
_cell_length_b 3.6676
_cell_length_c 26.9361
_cell_angle_alpha 90.00
_cell_angle_beta 90.00
_cell_angle_gamma 120.00
_space_group_name_H-M_alt 'R -3 m'
_space_group_IT_number 166
_space_group_name_Hall '-R 3 2"'
loop_
_atom_site_label
_atom_site_fract_x
_atom_site_fract_y
_atom_site_fract_z
Ho1 0.0000 0.0000 0.0000
Sc1 0.0000 0.0000 0.5000
Sn1 0.0000 0.0000 0.2464
```

Its energy above the lowest structure with this stoichiometry is 155.6 meV/atom. The value obtained for the formation energy is -483 meV per atom. Its total DFT energy (no corrections) is -62.5 eV for the cell shown.


HoSc4Sn: optimized geometry, PBE.

Geometry as CIF:
```
data_HoSc4Sn
_cell_length_a 3.427
_cell_length_b 18.652
_cell_length_c 9.483
_cell_angle_alpha 90.00
_cell_angle_beta 90.00
_cell_angle_gamma 90.00
_space_group_name_H-M_alt 'C m c m'
_space_group_IT_number 63
_space_group_name_Hall '-C 2c 2'
loop_
_atom_site_label
_atom_site_fract_x
_atom_site_fract_y
_atom_site_fract_z
Ho1 0.000 0.104 0.250
Sc1 0.000 0.078 0.750
Sc2 0.000 0.327 0.029
Sc3 0.000 0.500 0.000
Sn1 0.000 0.248 0.750
```

The value obtained for the formation energy is -223 meV per atom. Its total DFT energy (no corrections) is -141.0 eV for the cell shown.